DFT (PBE) results for an optimized crystal structure of ZnBiMo2.

Geometry as POSCAR:
```
ZnBiMo2
1.0
-1.9969 1.9969 9.8718
1.9969 -1.9969 9.8718
1.9969 1.9969 -9.8718
Zn Bi Mo
2 2 4
Cartesian
0.0000 0.0000 0.0000
0.0000 1.9969 4.9359
1.9969 0.0000 4.9359
0.0000 0.0000 9.8718
2.9954 0.7649 -2.4680
0.7649 0.9985 2.4680
-0.9985 1.2320 7.4039
1.2320 0.9985 12.3398
```

Summary:
Magnetic moment: 0.00 μB/atom
Energy above the lowest structure with this stoichiometry: 0.0000 eV per atom
Space-group type: I-42d, No. 122
Volume: 19.68 Å³/atom
Energy of formation from the pure elements: 0.655 eV/atom
D(E_F): 4.2 states/eV per cell


DFT (PBE) results for an optimized crystal structure of SrCo4Re.

Geometry as POSCAR:
```
SrCo4Re
1.0
0.0000 3.5401 3.5401
3.5401 0.0000 3.5401
3.5401 3.5401 0.0000
Sr Co Re
1 4 1
Cartesian
0.0000 0.0000 0.0000
4.4110 2.6693 2.6693
2.6693 4.4110 2.6693
2.6693 2.6693 4.4110
4.4110 4.4110 4.4110
1.7701 1.7701 1.7701
```

Summary:
Magnetic moment: 1.45 μB/atom
Space-group type: F-43m, No. 216
Volume: 14.79 Å³/atom
Energy of formation from the pure elements: 0.605 eV/atom
D(E_F): 10.7 states/eV per cell


DFT (PBE) results for an optimized crystal structure of K2InCuTc.

Geometry as POSCAR:
```
K2InCuTc
1.0
6.6265 0.0000 0.0000
0.0000 6.6265 0.0000
0.0000 0.0000 4.8702
K In Cu Tc
2 1 1 1
Cartesian
0.0000 3.3133 0.0000
3.3133 0.0000 0.0000
0.0000 0.0000 0.0000
0.0000 0.0000 2.4351
3.3133 3.3133 2.4351
```

Summary:
Magnetic moment: 0.76 μB/atom
Space-group type: P4/mmm, No. 123
Volume: 42.77 Å³/atom
Energy of formation from the pure elements: 1.314 eV/atom
D(E_F): 7.1 states/eV per cell


DFT (PBE) results for an optimized crystal structure of ZnPd6Se.

Geometry as POSCAR:
```
ZnPd6Se
1.0
5.3675 0.0000 0.0000
1.8381 5.0461 0.0000
1.8610 1.2805 4.8775
Zn Pd Se
1 6 1
Cartesian
0.0000 0.0000 0.0000
2.3898 3.4290 3.6329
4.1200 5.5990 2.4837
4.0379 3.7832 0.1002
5.0288 2.5434 4.7773
4.9466 0.7275 2.3938
6.6769 2.8976 1.2447
4.5333 3.1633 2.4388
```

Summary:
Magnetic moment: 0.00 μB/atom
Space-group type: P-1, No. 2
Raw formation energy: -87 meV/atom
Volume: 16.51 Å³/atom
D(E_F): 4.6 states/eV per cell


DFT (PBE) results for an optimized crystal structure of SrSbIr2.

Geometry as POSCAR:
```
SrSbIr2
1.0
-2.0701 2.0701 4.6434
2.0701 -2.0701 4.6434
2.0701 2.0701 -4.6434
Sr Sb Ir
1 1 2
Cartesian
0.0000 0.0000 0.0000
0.0000 2.0701 2.3217
2.0701 0.0000 2.3217
0.0000 0.0000 4.6434
```

Summary:
Magnetic moment: 0.00 μB/atom
Space-group type: I-4m2, No. 119
Raw formation energy: 223 meV/atom
Volume: 19.90 Å³/atom
D(E_F): 2.7 states/eV per cell


DFT (PBE) results for an optimized crystal structure of Be2TlAs.

Geometry as POSCAR:
```
Be2TlAs
1.0
2.8291 0.0000 0.0000
0.0000 3.3417 0.0000
0.0000 0.0000 7.8284
Be Tl As
2 1 1
Cartesian
0.0000 0.0000 0.0000
1.4146 1.6708 1.0026
0.0000 0.0000 3.0494
1.4146 1.6708 6.5713
```

Summary:
Magnetic moment: 0.00 μB/atom
Energy above the lowest structure with this stoichiometry: 0.2044 eV per atom
Space-group type: Pmm2, No. 25
Volume: 18.50 Å³/atom
Energy of formation from the pure elements: 0.407 eV/atom
D(E_F): 1.5 states/eV per cell


DFT (PBE) results for an optimized crystal structure of U4Mn7As6.

Geometry as POSCAR:
```
U4Mn7As6
1.0
-4.0474 4.0474 4.0474
4.0474 -4.0474 4.0474
4.0474 4.0474 -4.0474
U Mn As
4 7 6
Cartesian
2.0237 2.0237 -2.0237
2.0237 -2.0237 2.0237
-2.0237 2.0237 2.0237
2.0237 2.0237 2.0237
0.0000 0.0000 0.0000
4.0474 2.0237 0.0000
4.0474 0.0000 2.0237
2.0237 4.0474 0.0000
2.0237 0.0000 4.0474
0.0000 4.0474 2.0237
0.0000 2.0237 4.0474
2.5703 0.0000 0.0000
5.5245 0.0000 0.0000
0.0000 2.5703 0.0000
0.0000 0.0000 2.5703
0.0000 5.5245 0.0000
0.0000 0.0000 5.5245
```

Summary:
Magnetic moment: 0.03 μB/atom
Space-group type: Im-3m, No. 229
Volume: 15.60 Å³/atom
Energy of formation from the pure elements: -0.486 eV/atom
D(E_F): 11.2 states/eV per cell


DFT (PBE) results for an optimized crystal structure of Ba2SnTe5.

Geometry as POSCAR:
```
Ba2SnTe5
1.0
4.4660 -5.8729 0.0000
4.4660 5.8729 0.0000
-4.4023 0.0000 5.9862
Ba Sn Te
2 1 5
Cartesian
4.4660 2.9778 0.0000
4.4660 -2.9778 0.0000
-1.5545 0.0000 3.2747
2.2387 3.0259 2.9877
2.2999 0.0000 0.0788
1.5389 0.0000 3.3278
6.5921 0.0000 0.1276
2.2387 -3.0259 2.9877
```

Summary:
Magnetic moment: 0.00 μB/atom
Energy above the lowest structure with this stoichiometry: 0.0684 eV per atom
Space-group type: Cm, No. 8
Raw formation energy: -903 meV/atom
Volume: 39.25 Å³/atom
D(E_F): 0.5 states/eV per cell


DFT (PBE) results for an optimized crystal structure of HgPRhCl2.

Geometry as POSCAR:
```
HgPRhCl2
1.0
5.3008 0.0000 0.0000
0.0000 5.3008 0.0000
0.0000 0.0000 4.9879
Hg P Rh Cl
1 1 1 2
Cartesian
0.0000 0.0000 0.0000
0.0000 0.0000 2.4939
2.6504 2.6504 2.4939
0.0000 2.6504 0.0000
2.6504 0.0000 0.0000
```

Summary:
Magnetic moment: 0.04 μB/atom
Energy above the lowest structure with this stoichiometry: 1.0112 eV per atom
Space-group type: P4/mmm, No. 123
Raw formation energy: 1053 meV/atom
Volume: 28.03 Å³/atom
D(E_F): 8.8 states/eV per cell


DFT (PBE) results for an optimized crystal structure of Gd2LuCu.

Geometry as POSCAR:
```
Gd2LuCu
1.0
1.7118 0.9883 11.2030
-1.7118 0.9883 11.2030
0.0000 -1.9766 11.2030
Gd Lu Cu
2 1 1
Cartesian
0.0000 0.0000 2.7855
0.0000 0.0000 30.8235
0.0000 0.0000 16.8045
0.0000 0.0000 0.0000
```

Summary:
Magnetic moment: 3.72 μB/atom
Energy above the lowest structure with this stoichiometry: 0.4868 eV per atom
Space-group type: R-3m, No. 166
Volume: 28.43 Å³/atom
Energy of formation from the pure elements: 0.417 eV/atom
D(E_F): 5.6 states/eV per cell


DFT (PBE) results for an optimized crystal structure of YSc2.

Geometry as POSCAR:
```
YSc2
1.0
9.1355 0.0000 0.0000
-4.5677 7.9115 0.0000
0.0000 0.0000 3.3600
Y Sc
3 6
Cartesian
0.0000 0.0000 0.0000
0.0000 5.2744 1.6800
4.5677 2.6372 1.6800
-1.4167 2.4539 1.6800
-2.9311 5.0769 0.0000
2.8335 0.0000 1.6800
1.6366 2.8347 0.0000
5.8622 0.0000 0.0000
3.1510 5.4577 1.6800
```

Summary:
Magnetic moment: 0.14 μB/atom
Energy above the lowest structure with this stoichiometry: 0.0551 eV per atom
Space-group type: P-62m, No. 189
Volume: 26.98 Å³/atom
Energy of formation from the pure elements: 0.078 eV/atom
D(E_F): 15.9 states/eV per cell


DFT (PBE) results for an optimized crystal structure of Tb2PmSm2Y6.

Geometry as POSCAR:
```
Tb2PmSm2Y6
1.0
2.8602 -6.0378 0.0000
2.8602 6.0378 0.0000
-0.0101 0.0000 10.6157
Tb Pm Sm Y
2 1 2 6
Cartesian
2.8602 3.5527 0.0000
2.8602 -3.5527 0.0000
2.8602 0.0000 0.0000
2.8551 4.4229 5.3078
2.8551 -4.4229 5.3078
-0.0036 0.0000 8.4076
2.8531 1.8439 3.1183
2.8571 1.8439 7.4973
2.8531 -1.8439 3.1183
2.8571 -1.8439 7.4973
5.7138 0.0000 2.2081
```

Summary:
Magnetic moment: 0.00 μB/atom
Space-group type: C2/m, No. 12
Volume: 33.33 Å³/atom
Energy of formation from the pure elements: 0.150 eV/atom
D(E_F): 17.2 states/eV per cell


Which value of magnetic moment does entry 1 give?
0.00 μB/atom